No. 1
Compound: Ba3Li2Ag7
Source: Alexandria
Functional: PBE
Structure: optimized geometry

```
Ba3Li2Ag7
1.0
-3.2639 1.4556 5.0261
2.8017 0.4365 5.4766
1.4429 9.4634 1.9799
Ba Li Ag
3 2 7
Cartesian
0.2190 5.6600 9.8539
0.7616 5.6955 2.6287
0.0000 0.0000 0.0000
1.1192 10.6388 8.9965
-0.1385 0.7167 3.4861
0.4903 5.6778 6.2413
0.8401 8.3394 7.5527
-0.5335 8.1253 4.8675
2.4404 7.6257 5.0884
0.1406 3.0162 4.9299
-1.4597 3.7298 7.3942
1.5142 3.2302 7.6151
```

Space group: No. 166
Calculated total energy, eV/atom: -2.657

No. 2
Compound: YbSmAu2
Source: Alexandria
Functional: PBE
Structure: optimized geometry

```
YbSmAu2
1.0
5.1251 0.0004 0.0003
2.5629 4.4383 0.0003
2.5629 1.4797 4.1843
Sm Yb Au
1 1 2
Cartesian
7.6882 4.4388 3.1386
2.5627 1.4796 1.0462
10.2509 5.9184 4.1848
5.1256 2.9593 2.0924
```

Space group: No. 225
Calculated total energy, eV/atom: -4.096

| no. | DFT formation energy (meV per atom) |
| --- | --- |
| 1 | -194 |
| 2 | -897 |